1 | The following is a GGA-PBE calculation of crystalline PmSm6Se8 at its relaxed geometry, from the Alexandria database.

It has space group R-3 (No. 148, hexagonal axes), with a = 12.4017 Å, b = 12.4017 Å, c = 12.5574 Å, α = 90.00°, β = 90.00° and γ = 120.00°. The asymmetric unit holds Pm at (0.0000, 0.0000, 0.0000), Sm at (0.0035, 0.1862, 0.6288), Se at (0.0000, 0.0000, 0.2250) and Se at (0.9999, 0.2602, 0.4111).


2 | The following is a GGA-PBE calculation of crystalline PmSm6Se8 at its relaxed geometry, from the Alexandria database.

It has space group Fm-3m (No. 225), with a = 11.7682 Å, b = 11.7682 Å, c = 11.7682 Å, α = 90.00°, β = 90.00° and γ = 90.00°. The asymmetric unit holds Pm at (0.0000, 0.0000, 0.0000), Sm at (0.0000, 0.2500, 0.2500), Se at (0.0000, 0.0000, 0.2541) and Se at (0.2500, 0.2500, 0.2500).


Result of the stability comparison: 2 is the most stable of them.


1 | The following is a GGA-PBE calculation of crystalline PmSm2Se4 at its relaxed geometry, from the Alexandria database.

It has space group C2/m (No. 12), with a = 15.4223 Å, b = 4.2062 Å, c = 7.3381 Å, α = 90.00°, β = 116.29° and γ = 90.00°. The asymmetric unit holds Pm at (0.0000, 0.0000, 0.0000), Sm at (0.2312, 0.5000, 0.7229), Se at (0.1244, 0.0000, 0.4418) and Se at (0.1376, 0.5000, 0.9984).


2 | The following is a GGA-PBE calculation of crystalline PmSm2Se4 at its relaxed geometry, from the Alexandria database.

It has space group Cmcm (No. 63), with a = 4.0642 Å, b = 13.7938 Å, c = 14.0505 Å, α = 90.00°, β = 90.00° and γ = 90.00°. The asymmetric unit holds Pm at (0.0000, 0.1262, 0.2500), Sm at (0.0000, 0.3699, 0.0697), Se at (0.0000, 0.0000, 0.0000), Se at (0.0000, 0.2767, 0.6226) and Se at (0.0000, 0.4706, 0.2500).


Result of the stability comparison: 2 is the most stable of them.